1.
Density functional theory data (GGA-PBE) for a geometry-optimized ReW2Cl structure.

uncorrected formation energy = 0.608 eV per atom
VASP energy = -9.443 eV per atom
energy above the most stable polymorph in this dataset = 204.9 meV/atom

Cell and atoms, written as CIF:
```
data_ReW2Cl
_chemical_formula_sum 'Re1 W2 Cl1'
_symmetry_space_group_name_H-M 'P 4 m m'
_symmetry_Int_Tables_number 99
_symmetry_space_group_name_Hall 'P 4 -2'
_cell_length_a 2.9756
_cell_length_b 2.9756
_cell_length_c 7.1640
_cell_angle_alpha 90.00
_cell_angle_beta 90.00
_cell_angle_gamma 90.00
loop_
_atom_site_label
_atom_site_type_symbol
_atom_site_fract_x
_atom_site_fract_y
_atom_site_fract_z
_atom_site_occupancy
Re1 Re 0.0000 0.0000 0.0000 1
W1 W 0.0000 0.0000 0.4876 1
W2 W 0.5000 0.5000 0.2248 1
Cl1 Cl 0.5000 0.5000 0.7200 1
```



2.
Density functional theory data (GGA-PBE) for a geometry-optimized HfNiAs3 structure.

ΔE_f = 24 kJ per mole of atoms
VASP energy = -5.686 eV per atom
energy above the most stable polymorph in this dataset = 0.0 meV/atom

Cell and atoms, written as CIF:
```
data_HfNiAs3
_chemical_formula_sum 'Hf1 Ni1 As3'
_symmetry_space_group_name_H-M 'P m -3 m'
_symmetry_Int_Tables_number 221
_symmetry_space_group_name_Hall '-P 4 2 3'
_cell_length_a 4.5907
_cell_length_b 4.5907
_cell_length_c 4.5907
_cell_angle_alpha 90.00
_cell_angle_beta 90.00
_cell_angle_gamma 90.00
loop_
_atom_site_label
_atom_site_type_symbol
_atom_site_fract_x
_atom_site_fract_y
_atom_site_fract_z
_atom_site_occupancy
Hf1 Hf 0.0000 0.0000 0.0000 1
Ni1 Ni 0.5000 0.5000 0.5000 1
As1 As 0.0000 0.5000 0.5000 1
```



3.
Density functional theory data (GGA-PBE) for a geometry-optimized BaTbHfN3 structure.

uncorrected formation energy = -1.332 eV per atom
VASP energy = -8.246 eV per atom

Cell and atoms, written as CIF:
```
data_BaTbHfN3
_chemical_formula_sum 'Ba2 Tb2 Hf2 N6'
_symmetry_space_group_name_H-M 'P 1 21/m 1'
_symmetry_Int_Tables_number 11
_symmetry_space_group_name_Hall '-P 2yb'
_cell_length_a 6.2088
_cell_length_b 3.7248
_cell_length_c 8.8209
_cell_angle_alpha 90.00
_cell_angle_beta 102.82
_cell_angle_gamma 90.00
loop_
_atom_site_label
_atom_site_type_symbol
_atom_site_fract_x
_atom_site_fract_y
_atom_site_fract_z
_atom_site_occupancy
Ba1 Ba 0.1431 0.2500 0.1885 1
Tb1 Tb 0.2552 0.7500 0.5384 1
Hf1 Hf 0.3762 0.2500 0.8482 1
N1 N 0.0823 0.2500 0.6558 1
N2 N 0.3155 0.7500 0.9477 1
N3 N 0.4563 0.7500 0.3336 1
```



4.
Density functional theory data (GGA-PBE) for a geometry-optimized Sm2Y3ThS6 structure.

uncorrected formation energy = -1.971 eV per atom
VASP energy = -7.056 eV per atom

Cell and atoms, written as CIF:
```
data_Sm2Y3ThS6
_chemical_formula_sum 'Sm4 Y6 Th2 S12'
_symmetry_space_group_name_H-M 'C 1 2/m 1'
_symmetry_Int_Tables_number 12
_symmetry_space_group_name_Hall '-C 2y'
_cell_length_a 17.3493
_cell_length_b 3.9576
_cell_length_c 7.9717
_cell_angle_alpha 90.00
_cell_angle_beta 104.00
_cell_angle_gamma 90.00
loop_
_atom_site_label
_atom_site_type_symbol
_atom_site_fract_x
_atom_site_fract_y
_atom_site_fract_z
_atom_site_occupancy
Sm1 Sm 0.1649 0.0000 0.3300 1
Y1 Y 0.0000 0.5000 0.5000 1
Y2 Y 0.1658 0.0000 0.8344 1
Th1 Th 0.0000 0.5000 0.0000 1
S1 S 0.0024 0.0000 0.7417 1
S2 S 0.1659 0.5000 0.5883 1
S3 S 0.1704 0.5000 0.0789 1
```



5.
Density functional theory data (GGA-PBE) for a geometry-optimized BePd structure.

ΔE_f = 32 kJ per mole of atoms
VASP energy = -4.128 eV per atom

Cell and atoms, written as CIF:
```
data_BePd
_chemical_formula_sum 'Be6 Pd6'
_symmetry_space_group_name_H-M 'P m -3 n'
_symmetry_Int_Tables_number 223
_symmetry_space_group_name_Hall '-P 4n 2 3'
_cell_length_a 6.1544
_cell_length_b 6.1544
_cell_length_c 6.1544
_cell_angle_alpha 90.00
_cell_angle_beta 90.00
_cell_angle_gamma 90.00
loop_
_atom_site_label
_atom_site_type_symbol
_atom_site_fract_x
_atom_site_fract_y
_atom_site_fract_z
_atom_site_occupancy
Be1 Be 0.0000 0.2500 0.5000 1
Pd1 Pd 0.0000 0.5000 0.2500 1
```



6.
Density functional theory data (GGA-PBE) for a geometry-optimized Nd2SbP3Rh4 structure.

uncorrected formation energy = -0.940 eV per atom
VASP energy = -6.869 eV per atom

Cell and atoms, written as CIF:
```
data_Nd2SbP3Rh4
_chemical_formula_sum 'Nd2 Sb1 P3 Rh4'
_symmetry_space_group_name_H-M 'P -4 m 2'
_symmetry_Int_Tables_number 115
_symmetry_space_group_name_Hall 'P -4 -2'
_cell_length_a 4.1365
_cell_length_b 4.1365
_cell_length_c 10.4721
_cell_angle_alpha 90.00
_cell_angle_beta 90.00
_cell_angle_gamma 90.00
loop_
_atom_site_label
_atom_site_type_symbol
_atom_site_fract_x
_atom_site_fract_y
_atom_site_fract_z
_atom_site_occupancy
Nd1 Nd 0.0000 0.5000 0.2366 1
Sb1 Sb 0.0000 0.0000 0.5000 1
P1 P 0.0000 0.5000 0.8702 1
P2 P 0.5000 0.5000 0.5000 1
Rh1 Rh 0.0000 0.0000 0.0000 1
Rh2 Rh 0.0000 0.5000 0.6480 1
Rh3 Rh 0.5000 0.5000 0.0000 1
```



7.
Density functional theory data (GGA-PBE) for a geometry-optimized LaMg5Ni2 structure.

ΔE_f = -16 kJ per mole of atoms
VASP energy = -3.224 eV per atom

Cell and atoms, written as CIF:
```
data_LaMg5Ni2
_chemical_formula_sum 'La2 Mg10 Ni4'
_symmetry_space_group_name_H-M 'I m m m'
_symmetry_Int_Tables_number 71
_symmetry_space_group_name_Hall '-I 2 2'
_cell_length_a 4.1341
_cell_length_b 8.1845
_cell_length_c 9.8703
_cell_angle_alpha 90.00
_cell_angle_beta 90.00
_cell_angle_gamma 90.00
loop_
_atom_site_label
_atom_site_type_symbol
_atom_site_fract_x
_atom_site_fract_y
_atom_site_fract_z
_atom_site_occupancy
La1 La 0.0000 0.0000 0.0000 1
Mg1 Mg 0.0000 0.1839 0.3369 1
Mg2 Mg 0.0000 0.5000 0.0000 1
Ni1 Ni 0.0000 0.5000 0.2706 1
```



8.
Density functional theory data (GGA-PBE) for a geometry-optimized TlTeP2 structure.

uncorrected formation energy = 0.443 eV per atom
VASP energy = -3.639 eV per atom
energy above the most stable polymorph in this dataset = 417.0 meV/atom

Cell and atoms, written as CIF:
```
data_TlTeP2
_chemical_formula_sum 'Tl2 Te2 P4'
_symmetry_space_group_name_H-M 'C 1 2/m 1'
_symmetry_Int_Tables_number 12
_symmetry_space_group_name_Hall '-C 2y'
_cell_length_a 7.9875
_cell_length_b 7.9989
_cell_length_c 2.9732
_cell_angle_alpha 90.00
_cell_angle_beta 90.42
_cell_angle_gamma 90.00
loop_
_atom_site_label
_atom_site_type_symbol
_atom_site_fract_x
_atom_site_fract_y
_atom_site_fract_z
_atom_site_occupancy
Tl1 Tl 0.0000 0.0000 0.0000 1
Te1 Te 0.0000 0.5000 0.0000 1
P1 P 0.2500 0.2500 0.0000 1
```



9.
Density functional theory data (GGA-PBE) for a geometry-optimized LaInOs4 structure.

ΔE_f = 25 kJ per mole of atoms
VASP energy = -8.500 eV per atom

Cell and atoms, written as CIF:
```
data_LaInOs4
_chemical_formula_sum 'La4 In4 Os16'
_symmetry_space_group_name_H-M 'F -4 3 m'
_symmetry_Int_Tables_number 216
_symmetry_space_group_name_Hall 'F -4 2 3'
_cell_length_a 7.6175
_cell_length_b 7.6175
_cell_length_c 7.6175
_cell_angle_alpha 90.00
_cell_angle_beta 90.00
_cell_angle_gamma 90.00
loop_
_atom_site_label
_atom_site_type_symbol
_atom_site_fract_x
_atom_site_fract_y
_atom_site_fract_z
_atom_site_occupancy
La1 La 0.0000 0.0000 0.0000 1
In1 In 0.2500 0.2500 0.2500 1
Os1 Os 0.1243 0.1243 0.6243 1
```



10.
Density functional theory data (GGA-PBE) for a geometry-optimized Na4Dy3SnS8 structure.

uncorrected formation energy = -1.558 eV per atom
VASP energy = -5.065 eV per atom

Cell and atoms, written as CIF:
```
data_Na4Dy3SnS8
_chemical_formula_sum 'Na12 Dy9 Sn3 S24'
_symmetry_space_group_name_H-M 'R -3 m'
_symmetry_Int_Tables_number 166
_symmetry_space_group_name_Hall '-R 3 2"'
_cell_length_a 7.9663
_cell_length_b 7.9663
_cell_length_c 20.0358
_cell_angle_alpha 90.00
_cell_angle_beta 90.00
_cell_angle_gamma 120.00
loop_
_atom_site_label
_atom_site_type_symbol
_atom_site_fract_x
_atom_site_fract_y
_atom_site_fract_z
_atom_site_occupancy
Na1 Na 0.0000 0.0000 0.0000 1
Na2 Na 0.0000 0.5000 0.0000 1
Dy1 Dy 0.0000 0.5000 0.5000 1
Sn1 Sn 0.0000 0.0000 0.5000 1
S1 S 0.0000 0.0000 0.2423 1
S2 S 0.0011 0.5006 0.2419 1
```



11.
Density functional theory data (GGA-PBE) for a geometry-optimized Ho3Er8Sc structure.

ΔE_f = 69 kJ per mole of atoms
VASP energy = -3.994 eV per atom

Cell and atoms, written as CIF:
```
data_Ho3Er8Sc
_chemical_formula_sum 'Ho6 Er16 Sc2'
_symmetry_space_group_name_H-M 'I 4/m m m'
_symmetry_Int_Tables_number 139
_symmetry_space_group_name_Hall '-I 4 2'
_cell_length_a 7.5584
_cell_length_b 7.5584
_cell_length_c 15.1315
_cell_angle_alpha 90.00
_cell_angle_beta 90.00
_cell_angle_gamma 90.00
loop_
_atom_site_label
_atom_site_type_symbol
_atom_site_fract_x
_atom_site_fract_y
_atom_site_fract_z
_atom_site_occupancy
Ho1 Ho 0.0000 0.0000 0.0000 1
Ho2 Ho 0.0000 0.5000 0.2500 1
Er1 Er 0.2460 0.2460 0.3772 1
Sc1 Sc 0.0000 0.0000 0.5000 1
```



12.
Density functional theory data (GGA-PBE) for a geometry-optimized NdThZrSc structure.

ΔE_f = 12 kJ per mole of atoms
VASP energy = -6.641 eV per atom

Cell and atoms, written as CIF:
```
data_NdThZrSc
_chemical_formula_sum 'Nd4 Th4 Zr4 Sc4'
_symmetry_space_group_name_H-M 'F -4 3 m'
_symmetry_Int_Tables_number 216
_symmetry_space_group_name_Hall 'F -4 2 3'
_cell_length_a 7.6584
_cell_length_b 7.6584
_cell_length_c 7.6584
_cell_angle_alpha 90.00
_cell_angle_beta 90.00
_cell_angle_gamma 90.00
loop_
_atom_site_label
_atom_site_type_symbol
_atom_site_fract_x
_atom_site_fract_y
_atom_site_fract_z
_atom_site_occupancy
Nd1 Nd 0.0000 0.0000 0.0000 1
Th1 Th 0.0000 0.0000 0.5000 1
Zr1 Zr 0.2500 0.2500 0.7500 1
Sc1 Sc 0.2500 0.2500 0.2500 1
```



Q: Among the records above, which one has the highest VASP energy?
A: LaMg5Ni2